Entry 1:
Crystalline InCu at its relaxed geometry. Source: the Alexandria database, functional GGA-PBE.

Geometry as POSCAR:
```
InCu
1.0
3.063 0.000 0.000
0.000 5.044 0.000
0.000 0.000 4.734
In Cu
2 2
Direct
0.250 0.250 0.130 In
0.750 0.750 0.870 In
0.250 0.750 0.385 Cu
0.750 0.250 0.615 Cu
```

Calculated values
- Crystal system: orthorhombic
- Magnetization: 0.00 μB/f.u.
- V: 18.28 Å³/atom
- Final energy: -0.1194 Ha/atom
- Formation enthalpy at 0 K: 168 meV/atom

=====

Entry 2:
Crystalline InCu2 at its relaxed geometry. Source: the Alexandria database, functional GGA-PBE.

Geometry as POSCAR:
```
InCu2
1.0
3.479 0.000 0.000
0.000 3.479 0.000
0.000 0.000 4.305
In Cu
1 2
Direct
0.000 0.000 0.000 In
0.000 0.500 0.500 Cu
0.500 0.000 0.500 Cu
```

Calculated values
- Crystal system: tetragonal
- Magnetization: 0.00 μB/f.u.
- V: 17.37 Å³/atom
- Final energy: -0.1284 Ha/atom
- Formation enthalpy at 0 K: 149 meV/atom

=====

Entry 3:
Crystalline In6Cu23 at its relaxed geometry. Source: the Alexandria database, functional GGA-PBE.

Geometry as POSCAR:
```
In6Cu23
1.0
0.000 5.917 5.917
5.917 0.000 5.917
5.917 5.917 0.000
In Cu
6 23
Direct
0.208 0.208 0.792 In
0.208 0.792 0.208 In
0.208 0.792 0.792 In
0.792 0.208 0.208 In
0.792 0.208 0.792 In
0.792 0.792 0.208 In
0.000 0.000 0.500 Cu
0.000 0.500 0.000 Cu
0.000 0.500 0.500 Cu
0.142 0.619 0.619 Cu
0.171 0.171 0.171 Cu
0.171 0.171 0.487 Cu
0.171 0.487 0.171 Cu
0.381 0.381 0.381 Cu
0.381 0.381 0.858 Cu
0.381 0.858 0.381 Cu
0.487 0.171 0.171 Cu
0.500 0.000 0.000 Cu
0.500 0.000 0.500 Cu
0.500 0.500 0.000 Cu
0.500 0.500 0.500 Cu
0.513 0.829 0.829 Cu
0.619 0.142 0.619 Cu
0.619 0.619 0.142 Cu
0.619 0.619 0.619 Cu
0.829 0.513 0.829 Cu
0.829 0.829 0.513 Cu
0.829 0.829 0.829 Cu
0.858 0.381 0.381 Cu
```

Calculated values
- Crystal system: cubic
- Magnetization: 0.00 μB/f.u.
- V: 14.29 Å³/atom
- Final energy: -0.1394 Ha/atom
- Formation enthalpy at 0 K: 23 meV/atom